The following is a DFT calculation (PBE) of a geometry-optimized Pd3AuO structure.

Structure (POSCAR):
```
Pd3AuO
1.0
-4.223 1.686 -2.049
-0.123 -3.972 -3.014
-2.651 -2.501 3.405
Au Pd O
1 3 1
direct
0.000 0.000 0.000
0.000 0.500 0.000
0.500 0.000 0.000
0.000 0.000 0.500
0.500 0.500 0.500
```

Values from the calculation:
Formation energy (no corrections), meV per atom: 1596
VASP energy, eV per atom: -3.167
Energy relative to the lowest polymorph listed for this composition, meV per atom: 1585